No. 1
Au4C3, relaxed, DFT GGA-PBE; E_form = 1.5422 eV/atom; calculated volume = 105 Å³ per cell; E above lowest polymorph = 0.0 meV/atom; space group = No. 215; total energy = -4.28 eV/atom
1.0
4.722 0.000 0.000
0.000 4.722 0.000
0.000 0.000 4.722
Au C
4 3
Cartesian
1.053 1.053 3.668 Au
1.053 3.668 1.053 Au
3.668 1.053 1.053 Au
3.668 3.668 3.668 Au
0.000 2.361 2.361 C
2.361 0.000 2.361 C
2.361 2.361 0.000 C

***

No. 2
AuC4, relaxed, DFT GGA-PBE; E_form = 1.5833 eV/atom; calculated volume = 46 Å³ per cell; E above lowest polymorph = 0.0 meV/atom; space group = No. 164; total energy = -6.45 eV/atom
1.0
2.985 0.000 0.000
-1.492 2.585 0.000
0.000 0.000 5.928
Au C
1 4
Cartesian
0.000 0.000 0.000 Au
0.000 1.723 1.241 C
0.000 1.723 2.666 C
1.492 0.862 3.261 C
1.492 0.862 4.687 C

***

No. 3
Au3C4, relaxed, DFT GGA-PBE; E_form = 1.4782 eV/atom; calculated volume = 95 Å³ per cell; E above lowest polymorph = 0.0 meV/atom; space group = No. 191; total energy = -5.20 eV/atom
1.0
6.418 0.000 0.000
-3.209 5.558 0.000
0.000 0.000 2.659
Au C
3 4
Cartesian
-1.605 2.779 0.000 Au
3.209 0.000 0.000 Au
1.605 2.779 0.000 Au
0.000 0.000 0.675 C
0.000 0.000 1.984 C
0.000 3.706 1.330 C
3.209 1.853 1.330 C

***

No. 4
AuC, relaxed, DFT GGA-PBE; E_form = 2.0475 eV/atom; calculated volume = 109 Å³ per cell; E above lowest polymorph = 1764.3 meV/atom; space group = No. 139; total energy = -4.20 eV/atom
1.0
3.138 0.000 0.000
0.000 3.138 0.000
0.000 0.000 11.066
Au C
4 4
Cartesian
0.000 0.000 1.468 Au
0.000 0.000 9.597 Au
1.569 1.569 4.064 Au
1.569 1.569 7.001 Au
0.000 0.000 3.823 C
0.000 0.000 7.243 C
1.569 1.569 1.710 C
1.569 1.569 9.355 C

***

No. 5
Au2C, relaxed, DFT GGA-PBE; E_form = 0.9039 eV/atom; calculated volume = 186 Å³ per cell; E above lowest polymorph = 53.3 meV/atom; space group = No. 12; total energy = -4.36 eV/atom
1.0
11.517 0.000 0.000
0.000 3.054 0.000
-1.915 0.000 5.286
Au C
8 4
Cartesian
0.740 0.000 1.319 Au
0.567 0.000 4.189 Au
3.277 1.527 1.097 Au
3.104 1.527 3.967 Au
6.499 1.527 1.319 Au
6.325 1.527 4.189 Au
9.036 0.000 1.097 Au
8.862 0.000 3.967 Au
-0.281 1.527 2.638 C
4.125 0.000 2.647 C
5.477 0.000 2.638 C
9.884 1.527 2.647 C

***

No. 6
Au2C, relaxed, DFT GGA-PBE; E_form = 1.3863 eV/atom; calculated volume = 94 Å³ per cell; E above lowest polymorph = 535.6 meV/atom; space group = No. 136; total energy = -3.87 eV/atom
1.0
5.500 0.000 0.000
0.000 5.500 0.000
0.000 0.000 3.117
Au C
4 2
Cartesian
1.230 1.230 0.000 Au
1.520 3.980 1.558 Au
3.980 1.520 1.558 Au
4.270 4.270 0.000 Au
0.000 0.000 1.558 C
2.750 2.750 0.000 C

***

No. 7
AuC3, relaxed, DFT GGA-PBE; E_form = 1.1484 eV/atom; calculated volume = 37 Å³ per cell; E above lowest polymorph = 287.5 meV/atom; space group = No. 115; total energy = -6.59 eV/atom
1.0
2.653 0.000 0.000
0.000 2.653 0.000
0.000 0.000 5.289
Au C
1 3
Cartesian
0.000 0.000 0.000 Au
0.000 1.327 1.825 C
1.327 0.000 3.464 C
1.327 1.327 2.644 C

***

No. 8
Au2C, relaxed, DFT GGA-PBE; E_form = 1.1741 eV/atom; calculated volume = 52 Å³ per cell; E above lowest polymorph = 323.5 meV/atom; space group = No. 123; total energy = -4.09 eV/atom
1.0
4.200 0.000 0.000
0.000 4.200 0.000
0.000 0.000 2.961
Au C
2 1
Cartesian
0.000 2.100 0.000 Au
2.100 0.000 0.000 Au
0.000 0.000 0.000 C